(1)
Tb3Pt4, optimized geometry, DFT PBE; formation energy from the elements = -8.6 eV per formula unit; magnetization = 0.0 μB/f.u.
1.0
-6.045 -0.715 -5.054
4.560 -6.442 0.562
-1.931 3.244 6.953
Tb Pt
6 8
direct
0.027 0.279 0.405
0.279 0.405 0.027
0.405 0.027 0.279
0.973 0.721 0.595
0.721 0.595 0.973
0.595 0.973 0.721
0.000 0.000 0.000
0.500 0.500 0.500
0.061 0.552 0.227
0.552 0.227 0.061
0.227 0.061 0.552
0.939 0.448 0.773
0.448 0.773 0.939
0.773 0.939 0.448

---

(2)
Tb3Pt, optimized geometry, DFT PBE; formation energy from the elements = -2.8 eV per formula unit; magnetization = 0.0 μB/f.u.
1.0
-6.084 1.927 -1.294
-1.912 -6.727 -1.031
-2.244 -0.797 9.364
Tb Pt
12 4
direct
0.634 0.026 0.250
0.366 0.974 0.750
0.134 0.474 0.750
0.866 0.526 0.250
0.177 0.180 0.061
0.823 0.820 0.939
0.677 0.320 0.939
0.823 0.820 0.561
0.323 0.680 0.061
0.177 0.180 0.439
0.323 0.680 0.439
0.677 0.320 0.561
0.446 0.387 0.250
0.554 0.613 0.750
0.946 0.113 0.750
0.054 0.887 0.250

---

(3)
Tb3Pt2, optimized geometry, DFT PBE; formation energy from the elements = -4.9 eV per formula unit; magnetization = 0.0 μB/f.u.; energy relative to the lowest polymorph listed for this composition = 0.278 eV/f.u.
1.0
-4.741 -5.108 -0.897
-2.741 -3.269 5.584
-7.199 1.535 1.786
Tb Pt
6 4
direct
0.103 0.750 0.750
0.750 0.397 0.750
0.397 0.103 0.750
0.250 0.603 0.250
0.603 0.897 0.250
0.897 0.250 0.250
0.827 0.827 0.520
0.327 0.327 0.020
0.173 0.173 0.480
0.673 0.673 0.980

---

(4)
Tb3Pt, optimized geometry, DFT PBE; formation energy from the elements = -2.5 eV per formula unit; magnetization = 0.0 μB/f.u.
1.0
6.114 0.000 0.000
3.057 8.393 0.000
3.057 0.000 8.393
Tb Pt
12 4
direct
0.346 0.999 0.809
0.155 0.001 0.191
0.845 0.809 0.001
0.654 0.191 0.999
0.500 0.356 0.643
0.500 0.644 0.357
0.857 0.643 0.644
0.143 0.357 0.356
0.994 0.000 0.591
0.585 0.000 0.409
0.415 0.591 0.000
0.006 0.409 0.000
0.000 0.294 0.706
0.000 0.706 0.294
0.294 0.706 0.706
0.706 0.294 0.294

---

(5)
TbPt6, optimized geometry, DFT PBE; formation energy from the elements = -3.7 eV per formula unit; magnetization = 0.0 μB/f.u.; energy relative to the lowest polymorph listed for this composition = 0.000 eV/f.u.
1.0
-5.111 -0.914 1.302
1.808 -9.314 0.560
2.228 1.000 9.448
Tb Pt
4 24
direct
0.750 0.280 0.951
0.250 0.720 0.049
0.750 0.780 0.549
0.250 0.220 0.451
0.750 0.576 0.013
0.250 0.424 0.987
0.750 0.076 0.487
0.250 0.924 0.513
0.004 0.460 0.240
0.504 0.540 0.760
0.496 0.960 0.260
0.996 0.040 0.740
0.996 0.540 0.760
0.496 0.460 0.240
0.504 0.040 0.740
0.004 0.960 0.260
0.250 0.210 0.165
0.750 0.790 0.835
0.250 0.710 0.335
0.750 0.290 0.665
0.250 0.791 0.766
0.750 0.209 0.234
0.250 0.291 0.734
0.750 0.709 0.266
0.250 0.508 0.521
0.750 0.492 0.479
0.250 0.008 0.979
0.750 0.992 0.021

---

(6)
Tb4Pt, optimized geometry, DFT PBE; formation energy from the elements = -2.3 eV per formula unit; magnetization = 0.0 μB/f.u.; energy relative to the lowest polymorph listed for this composition = 0.000 eV/f.u.
1.0
-5.200 -4.154 -3.085
5.602 1.969 -4.308
2.905 -4.049 5.385
Tb Pt
8 2
direct
0.632 0.473 0.759
0.714 0.873 0.241
0.788 0.029 0.841
0.187 0.946 0.159
0.279 0.538 0.341
0.196 0.937 0.659
0.123 0.464 0.741
0.723 0.382 0.259
0.330 0.330 0.000
0.580 0.080 0.500

---

(7)
TbPt4, optimized geometry, DFT PBE; formation energy from the elements = -3.0 eV per formula unit; magnetization = 0.0 μB/f.u.
1.0
7.937 0.000 0.000
-2.646 7.483 0.000
-2.646 -3.741 6.480
Tb Pt
4 16
direct
0.557 0.000 0.000
0.000 0.557 0.000
0.443 0.443 0.443
0.000 0.000 0.557
0.215 0.000 0.000
0.000 0.215 0.000
0.785 0.785 0.785
0.000 0.000 0.215
0.347 0.000 0.347
0.653 0.000 0.653
0.000 0.653 0.653
0.000 0.347 0.347
0.347 0.347 0.000
0.653 0.653 0.000
0.250 0.500 0.750
0.750 0.500 0.250
0.500 0.250 0.750
0.500 0.750 0.250
0.750 0.250 0.500
0.250 0.750 0.500

---

(8)
TbPt12, optimized geometry, DFT PBE; formation energy from the elements = -3.3 eV per formula unit; magnetization = 0.0 μB/f.u.
1.0
5.414 0.000 0.000
2.707 6.411 0.000
2.707 0.000 6.411
Tb Pt
1 12
direct
0.000 0.000 0.000
0.500 0.000 0.500
0.000 0.000 0.500
0.500 0.500 0.000
0.000 0.500 0.000
0.000 0.656 0.344
0.000 0.344 0.656
0.656 0.344 0.344
0.344 0.656 0.656
0.500 0.216 0.784
0.500 0.784 0.216
0.716 0.784 0.784
0.284 0.216 0.216

---

(9)
Tb3Pt5, optimized geometry, DFT PBE; formation energy from the elements = -8.7 eV per formula unit; magnetization = 0.0 μB/f.u.
1.0
-3.632 -3.106 -0.816
3.121 -2.554 -4.169
1.515 -3.012 4.720
Tb Pt
3 5
direct
0.000 0.500 0.500
0.500 0.794 0.206
0.500 0.206 0.794
0.000 0.000 0.000
0.000 0.500 0.000
0.000 0.000 0.500
0.500 0.704 0.704
0.500 0.296 0.296

---

(10)
TbPt, optimized geometry, DFT PBE; formation energy from the elements = -2.6 eV per formula unit; magnetization = 0.0 μB/f.u.
1.0
4.558 0.000 0.000
0.000 5.585 0.000
0.000 0.000 7.053
Tb Pt
4 4
direct
0.250 0.641 0.182
0.750 0.359 0.818
0.750 0.141 0.318
0.250 0.859 0.682
0.250 0.155 0.044
0.750 0.845 0.956
0.750 0.655 0.456
0.250 0.345 0.544

---

(11)
Tb4Pt, optimized geometry, DFT PBE; formation energy from the elements = -0.2 eV per formula unit; magnetization = 0.0 μB/f.u.; energy relative to the lowest polymorph listed for this composition = 2.160 eV/f.u.
1.0
0.000 5.489 5.489
5.489 0.000 5.489
5.489 5.489 0.000
Tb Pt
8 2
direct
0.860 0.860 0.860
0.860 0.419 0.860
0.860 0.860 0.419
0.390 0.831 0.390
0.390 0.390 0.390
0.419 0.860 0.860
0.390 0.390 0.831
0.831 0.390 0.390
0.250 0.250 0.250
0.000 0.000 0.000

---

(12)
TbPt, optimized geometry, DFT PBE; formation energy from the elements = -2.4 eV per formula unit; magnetization = 0.0 μB/f.u.
1.0
3.511 0.000 0.000
0.000 3.511 0.000
0.000 0.000 3.511
Tb Pt
1 1
direct
0.500 0.500 0.500
0.000 0.000 0.000

---

Q: What is the formation energy from the elements in the fifth record?
A: -3.7 eV per formula unit

---

Q: Which value of formation energy from the elements does entry 6 give?
A: -2.3 eV per formula unit